Entry 1:
The following is a GGA-PBE calculation of crystalline Sm2DyTm4Sc at its relaxed geometry, from the Alexandria database.

space-group type: P4/mmm (123)
final energy: -0.349 Ry/atom

Lattice parameters (Å, degrees): 4.961 4.965 11.040 63.29 90.00 90.00
Sites, in units of the cell vectors:
Sm  0.000  0.000  0.000
Sm  0.500  0.000  0.500
Dy  0.500  0.500  0.000
Tm  0.000  0.755  0.745
Tm  0.000  0.245  0.255
Tm  0.500  0.745  0.255
Tm  0.500  0.255  0.745
Sc  0.000  0.500  0.500

=====

Entry 2:
The following is a GGA-PBE calculation of crystalline SmDyTm2Sc4 at its relaxed geometry, from the Alexandria database.

space-group type: C2/c (15)
final energy: -0.368 Ry/atom

Lattice parameters (Å, degrees): 9.069 9.069 11.253 128.35 128.35 88.47
Site moments in Bohr magnetons follow the coordinates.
Sites, in units of the cell vectors:
Sm  0.500  0.500  0.500  0.24
Sm  0.000  0.000  0.000  0.24
Dy  0.000  0.500  0.000  0.35
Dy  0.000  0.500  0.500  0.35
Tm  0.500  0.000  0.000  0.31
Tm  0.500  0.000  0.500  0.31
Tm  0.000  0.000  0.500  0.35
Tm  0.500  0.500  0.000  0.35
Sc  0.254  0.748  0.001  0.35
Sc  0.752  0.246  0.499  0.35
Sc  0.248  0.754  0.501  0.35
Sc  0.746  0.252  0.999  0.35
Sc  0.747  0.750  0.001  0.35
Sc  0.750  0.753  0.499  0.35
Sc  0.250  0.247  0.501  0.35
Sc  0.253  0.250  0.999  0.35

=====

Entry 3:
The following is a GGA-PBE calculation of crystalline Sm2DyTm5Sc at its relaxed geometry, from the Alexandria database.

space-group type: I4/mcm (140)
final energy: -0.328 Ry/atom

Lattice parameters (Å, degrees): 8.481 8.481 9.728 115.84 115.84 90.00
Sites, in units of the cell vectors:
Sm  0.119  0.381  0.000
Sm  0.619  0.119  0.000
Sm  0.381  0.881  0.000
Sm  0.881  0.619  0.000
Dy  0.250  0.250  0.500
Dy  0.750  0.750  0.500
Tm  0.933  0.433  0.283
Tm  0.650  0.150  0.717
Tm  0.067  0.567  0.717
Tm  0.150  0.067  0.717
Tm  0.567  0.650  0.717
Tm  0.850  0.933  0.283
Tm  0.433  0.350  0.283
Tm  0.350  0.850  0.283
Tm  0.500  0.500  0.000
Tm  0.000  0.000  0.000
Sc  0.250  0.750  0.500
Sc  0.750  0.250  0.500

=====

Entry 4:
The following is a GGA-PBE calculation of crystalline SmDyTm5Sc2 at its relaxed geometry, from the Alexandria database.

space-group type: Cmc2_1 (36)
final energy: -0.349 Ry/atom

Lattice parameters (Å, degrees): 5.528 10.944 9.271 90.00 90.00 104.63
Sites, in units of the cell vectors:
Sm  0.597  0.195  0.917
Sm  0.403  0.805  0.417
Dy  0.812  0.623  0.519
Dy  0.188  0.377  0.019
Tm  0.391  0.782  0.043
Tm  0.736  0.471  0.837
Tm  0.469  0.938  0.748
Tm  0.307  0.615  0.721
Tm  0.991  0.982  0.520
Tm  0.609  0.218  0.543
Tm  0.264  0.529  0.337
Tm  0.531  0.062  0.248
Tm  0.693  0.385  0.221
Tm  0.009  0.018  0.020
Sc  0.887  0.774  0.824
Sc  0.141  0.282  0.695
Sc  0.113  0.226  0.324
Sc  0.859  0.718  0.195

=====

Entry 5:
The following is a GGA-PBE calculation of crystalline Sm2Dy5TmSc at its relaxed geometry, from the Alexandria database.

space-group type: I4/mcm (140)
final energy: -0.332 Ry/atom

Lattice parameters (Å, degrees): 8.416 8.416 9.938 115.05 115.05 90.00
Sites, in units of the cell vectors:
Sm  0.121  0.379  0.000
Sm  0.621  0.121  0.000
Sm  0.379  0.879  0.000
Sm  0.879  0.621  0.000
Dy  0.932  0.432  0.287
Dy  0.645  0.145  0.713
Dy  0.068  0.568  0.713
Dy  0.145  0.068  0.713
Dy  0.568  0.645  0.713
Dy  0.855  0.932  0.287
Dy  0.432  0.355  0.287
Dy  0.355  0.855  0.287
Dy  0.500  0.500  0.000
Dy  0.000  0.000  0.000
Tm  0.250  0.250  0.500
Tm  0.750  0.750  0.500
Sc  0.250  0.750  0.500
Sc  0.750  0.250  0.500

=====

Entry 6:
The following is a GGA-PBE calculation of crystalline SmDy3Tm6Sc2 at its relaxed geometry, from the Alexandria database.

space-group type: C2/m (12)
final energy: -0.353 Ry/atom

Lattice parameters (Å, degrees): 6.016 6.016 11.527 94.98 94.98 119.95
Sites, in units of the cell vectors:
Sm  0.000  0.000  0.000
Dy  0.167  0.833  0.500
Dy  0.833  0.167  0.500
Dy  0.500  0.500  0.500
Tm  0.917  0.582  0.754
Tm  0.747  0.747  0.246
Tm  0.083  0.418  0.246
Tm  0.582  0.917  0.754
Tm  0.253  0.253  0.754
Tm  0.418  0.083  0.246
Sc  0.333  0.667  0.000
Sc  0.667  0.333  0.000

=====

Which DFT formation energy belongs to each record? In order, 0.04; 0.44; 0.28; 0.17; 0.29; 0.04 eV per atom.